Entry 1:
Entry from Alexandria via LeMat-Bulk: a relaxed structure of PmTh2Sc (PBE).

Cell: 3.535 3.535 9.840 Å, 90.00 90.00 90.00°
Atoms (fractional coordinates):
Pm (0.500, 0.500, 0.500)
Sc (0.500, 0.500, 0.000)
Th (0.000, 0.000, 0.235)
Th (0.000, 0.000, 0.765)

Values from the calculation:
SG: P4/mmm, No. 123
Formation energy, eV per atom: 0.06
Distance to the lowest polymorph of the same formula, meV/atom: 15.6

=====

Entry 2:
Entry from Alexandria via LeMat-Bulk: a relaxed structure of PmTh2Sc3 (PBE).

Cell: 3.484 8.986 11.199 Å, 90.00 90.00 101.18°
Atoms (fractional coordinates):
Sc (0.666, 0.332, 0.510)
Sc (0.334, 0.668, 0.010)
Th (0.000, 0.000, 0.000)
Sc (0.108, 0.216, 0.750)
Th (0.555, 0.111, 0.250)
Pm (0.779, 0.558, 0.750)
Sc (0.666, 0.332, 0.990)
Th (0.000, 0.000, 0.500)
Sc (0.334, 0.668, 0.490)
Pm (0.221, 0.442, 0.250)
Th (0.445, 0.889, 0.750)
Sc (0.892, 0.784, 0.250)

Values from the calculation:
SG: Cmcm, No. 63
Formation energy, eV per atom: 0.05
Distance to the lowest polymorph of the same formula, meV/atom: 32.4